Record 1
The following is a PBE calculation of a relaxed TeW2I crystal, from the Alexandria database.

## Properties
* total magnetic moment: 0.000 μB per atom
* energy above the lowest structure with this stoichiometry: 122 meV/atom
* total energy: -6.340 eV/atom
* uncorrected formation energy: 1.3091 eV/atom

Lattice parameters (Å, degrees): 4.590 4.590 17.231 90.00 90.00 90.00
Space group I-42d (No. 122)
Symmetry-distinct sites (fractional):
Te1 0.000 0.000 0.000
W1 0.216 0.250 0.625
I1 0.000 0.000 0.500

Record 2
The following is a PBE calculation of a relaxed Pm2Y3Er3 crystal, from the Alexandria database.

## Properties
* formation energy: 140 meV per atom
* total magnetic moment: 0.000 μB per atom
* energy above the lowest structure with this stoichiometry: 117 meV/atom
* total energy: -5.182 eV/atom

Lattice parameters (Å, degrees): 5.561 11.874 15.966 90.00 90.00 90.00
Space group Cmcm (No. 63)
Symmetry-distinct sites (fractional):
Pm1 0.000 0.219 0.129
Y1 0.000 0.383 0.551
Y2 0.000 0.460 0.250
Er1 0.000 0.081 0.589
Er2 0.000 0.260 0.750

Record 3
The following is a PBE calculation of a relaxed PrNp2Si2Pt7 crystal, from the Alexandria database.

## Properties
* total magnetic moment: 0.686 μB per atom
* total energy: -7.737 eV/atom
* uncorrected formation energy: -0.7542 eV/atom

Lattice parameters (Å, degrees): 5.824 5.733 13.962 90.00 98.31 90.00
Space group C2/m (No. 12)
Symmetry-distinct sites (fractional):
Pr1 0.000 0.000 0.000
Np1 0.115 0.000 0.362
Si1 0.094 0.500 0.258
Pt1 0.000 0.500 0.000
Pt2 0.131 0.500 0.428
Pt3 0.189 0.251 0.833